[1]
Density functional theory data (PBE) for a geometry-optimized Pm4Bi2H structure.

- uncorrected energy (eV per atom) = -4.953
- space-group type = P2_1/m (11)
- D(E_F) (states/eV per atom) = 0.90
- relative energy among the computed polymorphs (kJ per mole of atoms) = 2.48

The structure in CIF format:
```
data_Pm4Bi2H
_chemical_formula_sum 'Pm8 Bi4 H2'
_symmetry_space_group_name_H-M 'P 1'
_symmetry_Int_Tables_number 1
_cell_length_a 6.519
_cell_length_b 6.605
_cell_length_c 9.531
_cell_angle_alpha 90.00
_cell_angle_beta 108.38
_cell_angle_gamma 90.00
loop_
_symmetry_equiv_pos_as_xyz
'x,y,z'
loop_
_atom_site_label
_atom_site_type_symbol
_atom_site_fract_x
_atom_site_fract_y
_atom_site_fract_z
Pm1 Pm 0.065 0.750 0.338
Pm2 Pm 0.463 0.001 0.699
Pm3 Pm 0.463 0.499 0.699
Pm4 Pm 0.935 0.250 0.662
Pm5 Pm 0.859 0.250 0.054
Pm6 Pm 0.141 0.750 0.946
Pm7 Pm 0.537 0.999 0.301
Pm8 Pm 0.537 0.501 0.301
Bi1 Bi 0.690 0.750 0.026
Bi2 Bi 0.143 0.250 0.397
Bi3 Bi 0.857 0.750 0.603
Bi4 Bi 0.310 0.250 0.974
H1 H 0.292 0.750 0.199
H2 H 0.708 0.250 0.801
```



[2]
Density functional theory data (PBE) for a geometry-optimized B2MoPPt structure.

- uncorrected energy (eV per atom) = -5.890
- space-group type = P4/mmm (123)
- D(E_F) (states/eV per atom) = 0.82

The structure in CIF format:
```
data_B2MoPPt
_chemical_formula_sum 'B2 Mo1 P1 Pt1'
_symmetry_space_group_name_H-M 'P 1'
_symmetry_Int_Tables_number 1
_cell_length_a 3.881
_cell_length_b 4.535
_cell_length_c 3.881
_cell_angle_alpha 90.00
_cell_angle_beta 90.00
_cell_angle_gamma 90.00
loop_
_symmetry_equiv_pos_as_xyz
'x,y,z'
loop_
_atom_site_label
_atom_site_type_symbol
_atom_site_fract_x
_atom_site_fract_y
_atom_site_fract_z
B1 B 0.500 0.000 0.000
B2 B 0.000 0.000 0.500
Mo1 Mo 0.000 0.500 0.000
P1 P 0.000 0.000 0.000
Pt1 Pt 0.500 0.500 0.500
```



[3]
Density functional theory data (PBE) for a geometry-optimized TlCl3 structure.

- uncorrected energy (eV per atom) = -2.219
- space-group type = I4/mmm (139)
- D(E_F) (states/eV per atom) = 0.88
- raw formation energy (eV per atom) = -0.2421

The structure in CIF format:
```
data_TlCl3
_chemical_formula_sum 'Tl2 Cl6'
_symmetry_space_group_name_H-M 'P 1'
_symmetry_Int_Tables_number 1
_cell_length_a 14.600
_cell_length_b 14.600
_cell_length_c 14.600
_cell_angle_alpha 164.13
_cell_angle_beta 164.13
_cell_angle_gamma 22.52
loop_
_symmetry_equiv_pos_as_xyz
'x,y,z'
loop_
_atom_site_label
_atom_site_type_symbol
_atom_site_fract_x
_atom_site_fract_y
_atom_site_fract_z
Cl1 Cl 0.750 0.250 0.500
Cl2 Cl 0.872 0.872 0.000
Cl3 Cl 0.000 0.500 0.500
Cl4 Cl 0.500 0.000 0.500
Cl5 Cl 0.250 0.750 0.500
Cl6 Cl 0.128 0.128 0.000
Tl1 Tl 0.345 0.345 0.000
Tl2 Tl 0.655 0.655 0.000
```



[4]
Density functional theory data (PBE) for a geometry-optimized CoAsPt2 structure.

- uncorrected energy (eV per atom) = -5.955
- space-group type = Imm2 (44)
- D(E_F) (states/eV per atom) = 0.98

The structure in CIF format:
```
data_CoAsPt2
_chemical_formula_sum 'Co1 As1 Pt2'
_symmetry_space_group_name_H-M 'P 1'
_symmetry_Int_Tables_number 1
_cell_length_a 4.972
_cell_length_b 4.972
_cell_length_c 4.972
_cell_angle_alpha 140.70
_cell_angle_beta 129.64
_cell_angle_gamma 65.69
loop_
_symmetry_equiv_pos_as_xyz
'x,y,z'
loop_
_atom_site_label
_atom_site_type_symbol
_atom_site_fract_x
_atom_site_fract_y
_atom_site_fract_z
Pt1 Pt 0.721 0.221 0.500
Pt2 Pt 0.999 0.999 0.000
Co1 Co 0.288 0.788 0.500
As1 As 0.493 0.493 0.000
```



[5]
Density functional theory data (PBE) for a geometry-optimized DyNiBi2 structure.

- uncorrected energy (eV per atom) = -4.442
- space-group type = R-3m (166)
- D(E_F) (states/eV per atom) = 0.89

The structure in CIF format:
```
data_DyNiBi2
_chemical_formula_sum 'Dy1 Ni1 Bi2'
_symmetry_space_group_name_H-M 'P 1'
_symmetry_Int_Tables_number 1
_cell_length_a 3.551
_cell_length_b 3.551
_cell_length_c 10.127
_cell_angle_alpha 79.90
_cell_angle_beta 79.90
_cell_angle_gamma 60.00
loop_
_symmetry_equiv_pos_as_xyz
'x,y,z'
loop_
_atom_site_label
_atom_site_type_symbol
_atom_site_fract_x
_atom_site_fract_y
_atom_site_fract_z
Ni1 Ni 0.500 0.500 0.500
Dy1 Dy 0.000 0.000 0.000
Bi1 Bi 0.107 0.107 0.679
Bi2 Bi 0.893 0.893 0.321
```



[6]
Density functional theory data (PBE) for a geometry-optimized KAgB2W structure.

- uncorrected energy (eV per atom) = -2.602
- space-group type = P4/mmm (123)
- D(E_F) (states/eV per atom) = 1.25

The structure in CIF format:
```
data_KAgB2W
_chemical_formula_sum 'K1 Ag1 B2 W1'
_symmetry_space_group_name_H-M 'P 1'
_symmetry_Int_Tables_number 1
_cell_length_a 4.400
_cell_length_b 4.800
_cell_length_c 4.400
_cell_angle_alpha 90.00
_cell_angle_beta 90.00
_cell_angle_gamma 90.00
loop_
_symmetry_equiv_pos_as_xyz
'x,y,z'
loop_
_atom_site_label
_atom_site_type_symbol
_atom_site_fract_x
_atom_site_fract_y
_atom_site_fract_z
B1 B 0.500 0.000 0.000
B2 B 0.000 0.000 0.500
W1 W 0.500 0.500 0.500
Ag1 Ag 0.000 0.500 0.000
K1 K 0.000 0.000 0.000
```